Entry one
VASP calculation (GGA-PBE) on LaCrW2 after structural relaxation.

The structure belongs to space group I4_1/amd (No. 141, origin choice 2); the cell edges are 4.9434, 4.9434 and 16.5993 Å and the angles 90.00°, 90.00° and 90.00°. The asymmetric unit holds La at (0.0000, 0.2500, 0.3750), Cr at (0.0000, 0.2500, 0.8750) and W at (0.0000, 0.0000, 0.0000).

Entry two
VASP calculation (GGA-PBE) on LaCrW2 after structural relaxation.

The structure belongs to space group C2/m (No. 12); the cell edges are 5.4373, 9.7370 and 2.8314 Å and the angles 90.00°, 108.01° and 90.00°. The asymmetric unit holds La at (0.0000, 0.0000, 0.0000), Cr at (0.0000, 0.5000, 0.0000) and W at (0.2500, 0.2500, 0.5000).

Entry three
VASP calculation (GGA-PBE) on LaCrW2 after structural relaxation.

The structure belongs to space group P4/mmm (No. 123); the cell edges are 3.9075, 3.9075 and 5.0747 Å and the angles 90.00°, 90.00° and 90.00°. The asymmetric unit holds La at (0.0000, 0.0000, 0.0000), Cr at (0.5000, 0.5000, 0.0000) and W at (0.0000, 0.5000, 0.5000).

Entry four
VASP calculation (GGA-PBE) on LaCrW2 after structural relaxation.

The structure belongs to space group R-3m (No. 166, hexagonal axes); the cell edges are 2.9856, 2.9856 and 28.5169 Å and the angles 90.00°, 90.00° and 120.00°. The asymmetric unit holds La at (0.0000, 0.0000, 0.0000), Cr at (0.0000, 0.0000, 0.5000) and W at (0.0000, 0.0000, 0.2336).

Energy ordering: entry four at the bottom, the next structure 7.3 kJ/mol of atoms above.

Entry one
VASP calculation (GGA-PBE) on LaCrW2 after structural relaxation.

The structure belongs to space group Cmm2 (No. 35); the cell edges are 3.1834, 4.7578 and 9.4580 Å and the angles 90.00°, 90.00° and 90.00°. The asymmetric unit holds La at (0.0000, 0.0000, 0.0000), Cr at (0.0000, 0.5000, 0.7298), W at (0.0000, 0.0000, 0.5259) and W at (0.0000, 0.5000, 0.2965).

Entry two
VASP calculation (GGA-PBE) on LaCrW2 after structural relaxation.

The structure belongs to space group C2/m (No. 12); the cell edges are 9.8573, 3.0713 and 5.2595 Å and the angles 90.00°, 103.73° and 90.00°. The asymmetric unit holds La at (0.0000, 0.0000, 0.0000), Cr at (0.0000, 0.5000, 0.5000) and W at (0.2101, 0.0000, 0.6704).

Energy ordering: entry one at the bottom, the next structure 15.3 kJ/mol of atoms above.

Entry one
VASP calculation (GGA-PBE) on LaCrW2 after structural relaxation.

The structure belongs to space group R3m (No. 160, hexagonal axes); the cell edges are 3.0249, 3.0249 and 28.1599 Å and the angles 90.00°, 90.00° and 120.00°. The asymmetric unit holds La at (0.0000, 0.0000, 0.0000), Cr at (0.0000, 0.0000, 0.2390), W at (0.0000, 0.0000, 0.5088) and W at (0.0000, 0.0000, 0.7659).

Entry two
VASP calculation (GGA-PBE) on LaCrW2 after structural relaxation.

The structure belongs to space group Imm2 (No. 44); the cell edges are 3.1205, 5.1240 and 9.1174 Å and the angles 90.00°, 90.00° and 90.00°. The asymmetric unit holds La at (0.0000, 0.0000, 0.0000), Cr at (0.0000, 0.5000, 0.2442), W at (0.0000, 0.0000, 0.5294) and W at (0.0000, 0.5000, 0.7747).

Entry three
VASP calculation (GGA-PBE) on LaCrW2 after structural relaxation.

The structure belongs to space group P4/mmm (No. 123); the cell edges are 3.0356, 3.0356 and 8.0478 Å and the angles 90.00°, 90.00° and 90.00°. The asymmetric unit holds La at (0.0000, 0.0000, 0.0000), Cr at (0.0000, 0.0000, 0.5000) and W at (0.5000, 0.5000, 0.3182).

Energy ordering: entry three at the bottom, the next structure 23.3 kJ/mol of atoms above.

Entry one
VASP calculation (GGA-PBE) on LaCr2W after structural relaxation.

The structure belongs to space group Cmm2 (No. 35); the cell edges are 3.1197, 4.7275 and 9.1676 Å and the angles 90.00°, 90.00° and 90.00°. The asymmetric unit holds La at (0.0000, 0.0000, 0.0000), Cr at (0.0000, 0.0000, 0.5287), Cr at (0.0000, 0.5000, 0.7118) and W at (0.0000, 0.5000, 0.3087).

Entry two
VASP calculation (GGA-PBE) on LaCr2W after structural relaxation.

The structure belongs to space group C2/m (No. 12); the cell edges are 6.0394, 8.4149 and 2.8339 Å and the angles 90.00°, 112.56° and 90.00°. The asymmetric unit holds La at (0.0000, 0.0000, 0.0000), Cr at (0.2500, 0.2500, 0.5000) and W at (0.0000, 0.5000, 0.0000).

Entry three
VASP calculation (GGA-PBE) on LaCr2W after structural relaxation.

The structure belongs to space group P4mm (No. 99); the cell edges are 3.0659, 3.0659 and 7.7100 Å and the angles 90.00°, 90.00° and 90.00°. The asymmetric unit holds La at (0.0000, 0.0000, 0.0000), Cr at (0.0000, 0.0000, 0.5009), Cr at (0.5000, 0.5000, 0.6711) and W at (0.5000, 0.5000, 0.3157).

Entry four
VASP calculation (GGA-PBE) on LaCr2W after structural relaxation.

The structure belongs to space group C2/m (No. 12); the cell edges are 7.9934, 3.0511 and 6.3445 Å and the angles 90.00°, 94.96° and 90.00°. The asymmetric unit holds La at (0.0000, 0.0000, 0.0000), Cr at (0.2288, 0.0000, 0.6680) and W at (0.0000, 0.5000, 0.5000).

Energy ordering: entry three at the bottom, the next structure 11.7 kJ/mol of atoms above.

Entry one
VASP calculation (GGA-PBE) on LaCr2W after structural relaxation.

The structure belongs to space group Pmmm (No. 47); the cell edges are 3.2720, 4.6403 and 4.7955 Å and the angles 90.00°, 90.00° and 90.00°. The asymmetric unit holds La at (0.0000, 0.0000, 0.0000), Cr at (0.0000, 0.5000, 0.5000), Cr at (0.5000, 0.0000, 0.5000) and W at (0.5000, 0.5000, 0.0000).

Entry two
VASP calculation (GGA-PBE) on LaCr2W after structural relaxation.

The structure belongs to space group P4/mmm (No. 123); the cell edges are 3.1364, 3.1364 and 7.4842 Å and the angles 90.00°, 90.00° and 90.00°. The asymmetric unit holds La at (0.0000, 0.0000, 0.0000), Cr at (0.5000, 0.5000, 0.3132) and W at (0.0000, 0.0000, 0.5000).

Energy ordering: entry two at the bottom, the next structure 43.2 kJ/mol of atoms above.

Entry one
VASP calculation (GGA-PBE) on LaCr2W after structural relaxation.

The structure belongs to space group P4/mmm (No. 123); the cell edges are 4.6861, 4.6861 and 3.1452 Å and the angles 90.00°, 90.00° and 90.00°. The asymmetric unit holds La at (0.0000, 0.0000, 0.0000), Cr at (0.0000, 0.5000, 0.5000) and W at (0.5000, 0.5000, 0.0000).

Entry two
VASP calculation (GGA-PBE) on LaCr2W after structural relaxation.

The structure belongs to space group I4_1/amd (No. 141, origin choice 2); the cell edges are 4.6501, 4.6501 and 16.7665 Å and the angles 90.00°, 90.00° and 90.00°. The asymmetric unit holds La at (0.0000, 0.2500, 0.3750), Cr at (0.0000, 0.0000, 0.0000) and W at (0.0000, 0.2500, 0.8750).

Energy ordering: entry one at the bottom, the next structure 28.0 kJ/mol of atoms above.

Entry one
VASP calculation (GGA-PBE) on LaCr2W after structural relaxation.

The structure belongs to space group Cm (No. 8); the cell edges are 8.8514, 3.2086 and 5.7207 Å and the angles 90.00°, 106.69° and 90.00°. The asymmetric unit holds La at (0.0000, 0.0000, 0.0000), Cr at (0.2826, 0.5000, 0.3624), Cr at (0.4815, 0.0000, 0.4790) and W at (0.2021, 0.0000, 0.6238).

Entry two
VASP calculation (GGA-PBE) on LaCr2W after structural relaxation.

The structure belongs to space group F-43m (No. 216); the cell edges are 6.5384, 6.5384 and 6.5384 Å and the angles 90.00°, 90.00° and 90.00°. The asymmetric unit holds La at (0.0000, 0.0000, 0.0000), Cr at (0.0000, 0.0000, 0.5000), Cr at (0.2500, 0.2500, 0.7500) and W at (0.2500, 0.2500, 0.2500).

Entry three
VASP calculation (GGA-PBE) on LaCr2W after structural relaxation.

The structure belongs to space group Fm-3m (No. 225); the cell edges are 6.4494, 6.4494 and 6.4494 Å and the angles 90.00°, 90.00° and 90.00°. The asymmetric unit holds La at (0.0000, 0.0000, 0.0000), Cr at (0.2500, 0.2500, 0.2500) and W at (0.0000, 0.0000, 0.5000).

Entry four
VASP calculation (GGA-PBE) on LaCr2W after structural relaxation.

The structure belongs to space group Cmmm (No. 65); the cell edges are 3.1441, 4.7598 and 9.0530 Å and the angles 90.00°, 90.00° and 90.00°. The asymmetric unit holds La at (0.0000, 0.0000, 0.0000), Cr at (0.0000, 0.5000, 0.2849) and W at (0.0000, 0.0000, 0.5000).

Energy ordering: entry four at the bottom, the next structure 1.8 kJ/mol of atoms above.

Entry one
VASP calculation (GGA-PBE) on LaCr2W after structural relaxation.

The structure belongs to space group R-3m (No. 166, hexagonal axes); the cell edges are 3.0878, 3.0878 and 27.2337 Å and the angles 90.00°, 90.00° and 120.00°. The asymmetric unit holds La at (0.0000, 0.0000, 0.0000), Cr at (0.0000, 0.0000, 0.2346) and W at (0.0000, 0.0000, 0.5000).

Entry two
VASP calculation (GGA-PBE) on LaCr2W after structural relaxation.

The structure belongs to space group Imm2 (No. 44); the cell edges are 2.9640, 4.6396 and 10.2083 Å and the angles 90.00°, 90.00° and 90.00°. The asymmetric unit holds La at (0.0000, 0.0000, 0.0000), Cr at (0.0000, 0.0000, 0.5779), Cr at (0.0000, 0.5000, 0.2343) and W at (0.0000, 0.5000, 0.7764).

Entry three
VASP calculation (GGA-PBE) on LaCr2W after structural relaxation.

The structure belongs to space group P2/m (No. 10); the cell edges are 2.9212, 4.1127 and 6.3951 Å and the angles 90.00°, 100.21° and 90.00°. The asymmetric unit holds La at (0.0000, 0.0000, 0.0000), Cr at (0.1944, 0.5000, 0.6541) and W at (0.5000, 0.0000, 0.5000).

Energy ordering: entry three at the bottom, the next structure 20.6 kJ/mol of atoms above.

Entry one
VASP calculation (GGA-PBE) on LaY3Cr after structural relaxation.

The structure belongs to space group Pm-3m (No. 221); the cell edges are 5.4488, 5.4488 and 5.4488 Å and the angles 90.00°, 90.00° and 90.00°. The asymmetric unit holds La at (0.0000, 0.0000, 0.0000), Y at (0.0000, 0.5000, 0.5000) and Cr at (0.5000, 0.5000, 0.5000).

Entry two
VASP calculation (GGA-PBE) on LaY3Cr after structural relaxation.

The structure belongs to space group Pm-3m (No. 221); the cell edges are 5.5080, 5.5080 and 5.5080 Å and the angles 90.00°, 90.00° and 90.00°. The asymmetric unit holds La at (0.0000, 0.0000, 0.0000), Y at (0.0000, 0.0000, 0.5000) and Cr at (0.5000, 0.5000, 0.5000).

Energy ordering: entry one at the bottom, the next structure 123.7 kJ/mol of atoms above.

Entry one
VASP calculation (GGA-PBE) on La2YCr after structural relaxation.

The structure belongs to space group Immm (No. 71); the cell edges are 3.7769, 5.5350 and 11.4764 Å and the angles 90.00°, 90.00° and 90.00°. The asymmetric unit holds La at (0.0000, 0.0000, 0.2098), Y at (0.0000, 0.5000, 0.0000) and Cr at (0.0000, 0.5000, 0.5000).

Entry two
VASP calculation (GGA-PBE) on La2YCr after structural relaxation.

The structure belongs to space group I-42d (No. 122); the cell edges are 8.7796, 8.7796 and 6.5208 Å and the angles 90.00°, 90.00° and 90.00°. The asymmetric unit holds La at (0.1966, 0.2500, 0.1250), Y at (0.0000, 0.0000, 0.5000) and Cr at (0.0000, 0.0000, 0.0000).

Entry three
VASP calculation (GGA-PBE) on La2YCr after structural relaxation.

The structure belongs to space group I-4m2 (No. 119); the cell edges are 4.8408, 4.8408 and 10.2279 Å and the angles 90.00°, 90.00° and 90.00°. The asymmetric unit holds La at (0.0000, 0.0000, 0.0000), La at (0.0000, 0.5000, 0.2500), Y at (0.0000, 0.0000, 0.5000) and Cr at (0.0000, 0.5000, 0.7500).

Energy ordering: entry one at the bottom, the next structure 10.3 kJ/mol of atoms above.